VASP calculation (PBE) on an optimized crystal structure of NbFe2Tc.

Output
relative energy among the computed polymorphs: 0 meV per atom
VASP energy: -37.21 eV/f.u.
E_form: 0.04 eV per atom

Geometry as CIF:
```
data_NbFe2Tc
_chemical_formula_sum 'Nb4 Fe8 Tc4'
_cell_length_a 6.067
_cell_length_b 6.067
_cell_length_c 6.067
_cell_angle_alpha 90.00
_cell_angle_beta 90.00
_cell_angle_gamma 90.00
_symmetry_space_group_name_H-M 'F m -3 m'
_symmetry_Int_Tables_number 225
_symmetry_space_group_name_Hall '-F 4 2 3'
loop_
_atom_site_label
_atom_site_type_symbol
_atom_site_fract_x
_atom_site_fract_y
_atom_site_fract_z
_atom_site_occupancy
Nb1 Nb 0.000 0.000 0.000 1
Fe1 Fe 0.250 0.250 0.250 1
Tc1 Tc 0.000 0.000 0.500 1
```


VASP calculation (PBE) on an optimized crystal structure of BaCo2Ag.

Output
VASP energy: -16.90 eV/f.u.
E_form: 0.52 eV per atom

Geometry as CIF:
```
data_BaCo2Ag
_chemical_formula_sum 'Ba4 Co8 Ag4'
_cell_length_a 4.671
_cell_length_b 4.671
_cell_length_c 18.395
_cell_angle_alpha 90.00
_cell_angle_beta 90.00
_cell_angle_gamma 90.00
_symmetry_space_group_name_H-M 'I 41/a m d'
_symmetry_Int_Tables_number 141
loop_
_symmetry_equiv_pos_as_xyz
'x,y,z'
'-x,-y,-z'
'-y+1/4,x+3/4,z+1/4'
'y+1/4,-x+3/4,-z+1/4'
'-x+1/2,-y,z+1/2'
'x+1/2,y,-z+1/2'
'y+1/4,-x+1/4,z+3/4'
'-y+1/4,x+1/4,-z+3/4'
'x,-y,-z'
'-x,y,z'
'-y+1/4,-x+1/4,-z+3/4'
'y+1/4,x+1/4,z+3/4'
'-x+1/2,y,-z+1/2'
'x+1/2,-y,z+1/2'
'y+1/4,x+3/4,-z+1/4'
'-y+1/4,-x+3/4,z+1/4'
'x+1/2,y+1/2,z+1/2'
'-x+1/2,-y+1/2,-z+1/2'
'-y+3/4,x+1/4,z+3/4'
'y+3/4,-x+1/4,-z+3/4'
'-x,-y+1/2,z'
'x,y+1/2,-z'
'y+3/4,-x+3/4,z+1/4'
'-y+3/4,x+3/4,-z+1/4'
'x+1/2,-y+1/2,-z+1/2'
'-x+1/2,y+1/2,z+1/2'
'-y+3/4,-x+3/4,-z+1/4'
'y+3/4,x+3/4,z+1/4'
'-x,y+1/2,-z'
'x,-y+1/2,z'
'y+3/4,x+1/4,-z+3/4'
'-y+3/4,-x+1/4,z+3/4'
loop_
_atom_site_label
_atom_site_type_symbol
_atom_site_fract_x
_atom_site_fract_y
_atom_site_fract_z
_atom_site_occupancy
Ba1 Ba 0.000 0.250 0.375 1
Co1 Co 0.000 0.000 0.000 1
Ag1 Ag 0.000 0.250 0.875 1
```


VASP calculation (PBE) on an optimized crystal structure of InFeCoCu.

Output
VASP energy: -21.77 eV/f.u.
E_form: 0.16 eV per atom

Geometry as CIF:
```
data_InFeCoCu
_chemical_formula_sum 'In4 Fe4 Co4 Cu4'
_cell_length_a 6.056
_cell_length_b 6.056
_cell_length_c 6.056
_cell_angle_alpha 90.00
_cell_angle_beta 90.00
_cell_angle_gamma 90.00
_symmetry_space_group_name_H-M 'F -4 3 m'
_symmetry_Int_Tables_number 216
_symmetry_space_group_name_Hall 'F -4 2 3'
loop_
_atom_site_label
_atom_site_type_symbol
_atom_site_fract_x
_atom_site_fract_y
_atom_site_fract_z
_atom_site_occupancy
In1 In 0.000 0.000 0.000 1
Fe1 Fe 0.000 0.000 0.500 1
Co1 Co 0.250 0.250 0.250 1
Cu1 Cu 0.250 0.250 0.750 1
```


VASP calculation (PBE) on an optimized crystal structure of ZrPtAu2.

Output
VASP energy: -23.51 eV/f.u.
E_form: -0.59 eV per atom

Geometry as CIF:
```
data_ZrPtAu2
_chemical_formula_sum 'Zr2 Pt2 Au4'
_cell_length_a 4.138
_cell_length_b 4.138
_cell_length_c 8.432
_cell_angle_alpha 90.00
_cell_angle_beta 90.00
_cell_angle_gamma 90.00
_symmetry_space_group_name_H-M 'I 4/m m m'
_symmetry_Int_Tables_number 139
_symmetry_space_group_name_Hall '-I 4 2'
loop_
_atom_site_label
_atom_site_type_symbol
_atom_site_fract_x
_atom_site_fract_y
_atom_site_fract_z
_atom_site_occupancy
Zr1 Zr 0.000 0.000 0.000 1
Pt1 Pt 0.000 0.000 0.500 1
Au1 Au 0.000 0.500 0.250 1
```


VASP calculation (PBE) on an optimized crystal structure of BaSn2IrRh.

Output
VASP energy: -28.64 eV/f.u.
E_form: -0.50 eV per atom

Geometry as CIF:
```
data_BaSn2IrRh
_chemical_formula_sum 'Ba2 Sn4 Ir2 Rh2'
_cell_length_a 4.525
_cell_length_b 4.525
_cell_length_c 12.032
_cell_angle_alpha 90.00
_cell_angle_beta 90.00
_cell_angle_gamma 90.00
_symmetry_space_group_name_H-M 'I -4 m 2'
_symmetry_Int_Tables_number 119
_symmetry_space_group_name_Hall 'I -4 -2'
loop_
_atom_site_label
_atom_site_type_symbol
_atom_site_fract_x
_atom_site_fract_y
_atom_site_fract_z
_atom_site_occupancy
Ba1 Ba 0.000 0.000 0.000 1
Sn1 Sn 0.000 0.000 0.363 1
Ir1 Ir 0.000 0.500 0.750 1
Rh1 Rh 0.000 0.500 0.250 1
```


VASP calculation (PBE) on an optimized crystal structure of NaLaAs2O6.

Output
energy relative to the elements, uncorrected: -1.850 eV per atom
VASP energy: -63.79 eV/f.u.

Geometry as CIF:
```
data_NaLaAs2O6
_chemical_formula_sum 'Na4 La4 As8 O24'
_cell_length_a 10.701
_cell_length_b 9.637
_cell_length_c 7.051
_cell_angle_alpha 90.00
_cell_angle_beta 117.20
_cell_angle_gamma 90.00
_symmetry_space_group_name_H-M 'C 1 2/c 1'
_symmetry_Int_Tables_number 15
loop_
_symmetry_equiv_pos_as_xyz
'x,y,z'
'-x,-y,-z'
'-x,y,-z+1/2'
'x,-y,z+1/2'
'x+1/2,y+1/2,z'
'-x+1/2,-y+1/2,-z'
'-x+1/2,y+1/2,-z+1/2'
'x+1/2,-y+1/2,z+1/2'
loop_
_atom_site_label
_atom_site_type_symbol
_atom_site_fract_x
_atom_site_fract_y
_atom_site_fract_z
_atom_site_occupancy
Na1 Na 0.000 0.216 0.250 1
La1 La 0.000 0.391 0.750 1
As1 As 0.195 0.066 0.718 1
O1 O 0.118 0.414 0.150 1
O2 O 0.131 0.236 0.659 1
O3 O 0.158 0.006 0.949 1
```


Repeat the fifth record exactly.
VASP calculation (PBE) on an optimized crystal structure of BaSn2IrRh.

Output
VASP energy: -28.64 eV/f.u.
E_form: -0.50 eV per atom

Geometry as CIF:
```
data_BaSn2IrRh
_chemical_formula_sum 'Ba2 Sn4 Ir2 Rh2'
_cell_length_a 4.525
_cell_length_b 4.525
_cell_length_c 12.032
_cell_angle_alpha 90.00
_cell_angle_beta 90.00
_cell_angle_gamma 90.00
_symmetry_space_group_name_H-M 'I -4 m 2'
_symmetry_Int_Tables_number 119
_symmetry_space_group_name_Hall 'I -4 -2'
loop_
_atom_site_label
_atom_site_type_symbol
_atom_site_fract_x
_atom_site_fract_y
_atom_site_fract_z
_atom_site_occupancy
Ba1 Ba 0.000 0.000 0.000 1
Sn1 Sn 0.000 0.000 0.363 1
Ir1 Ir 0.000 0.500 0.750 1
Rh1 Rh 0.000 0.500 0.250 1
```


> The highest VASP energy belongs to which entry?

BaCo2Ag